Model 1:
# PBE HfFeSbI2, relaxed
# **Space group**: P4/mmm, No. 123
# **N(E_F)**: 6.9 states/eV/f.u.
data_HfFeSbI2
_cell_length_a 5.095
_cell_length_b 5.095
_cell_length_c 5.194
_cell_angle_alpha 90.00
_cell_angle_beta 90.00
_cell_angle_gamma 90.00
_space_group_name_H-M_alt 'P 1'
_space_group_IT_number 1
_space_group_name_Hall 'P 1'
loop_
_atom_site_label
_atom_site_type_symbol
_atom_site_fract_x
_atom_site_fract_y
_atom_site_fract_z
Hf1 Hf 0.000 0.000 0.000
Fe1 Fe 0.500 0.500 0.500
Sb1 Sb 0.500 0.500 0.000
I1 I 0.000 0.500 0.500
I2 I 0.500 0.000 0.500



Model 2:
# PBE HfFeSbI2, relaxed
# **Space group**: P4/mmm, No. 123
# **N(E_F)**: 9.1 states/eV/f.u.
data_HfFeSbI2
_cell_length_a 5.583
_cell_length_b 5.583
_cell_length_c 5.741
_cell_angle_alpha 90.00
_cell_angle_beta 90.00
_cell_angle_gamma 90.00
_space_group_name_H-M_alt 'P 1'
_space_group_IT_number 1
_space_group_name_Hall 'P 1'
loop_
_atom_site_label
_atom_site_type_symbol
_atom_site_fract_x
_atom_site_fract_y
_atom_site_fract_z
Hf1 Hf 0.000 0.000 0.000
Fe1 Fe 0.500 0.500 0.500
Sb1 Sb 0.000 0.000 0.500
I1 I 0.000 0.500 0.000
I2 I 0.500 0.000 0.000



In terms of stability, model 2 leads; the second structure lies 123 meV per atom higher.



Model 1:
# PBE HfFeSb2I, relaxed
# **Space group**: P4/mmm, No. 123
# **N(E_F)**: 8.5 states/eV/f.u.
data_HfFeSb2I
_cell_length_a 5.539
_cell_length_b 5.539
_cell_length_c 5.632
_cell_angle_alpha 90.00
_cell_angle_beta 90.00
_cell_angle_gamma 90.00
_space_group_name_H-M_alt 'P 1'
_space_group_IT_number 1
_space_group_name_Hall 'P 1'
loop_
_atom_site_label
_atom_site_type_symbol
_atom_site_fract_x
_atom_site_fract_y
_atom_site_fract_z
Hf1 Hf 0.000 0.000 0.000
Fe1 Fe 0.500 0.500 0.500
Sb1 Sb 0.000 0.500 0.000
Sb2 Sb 0.500 0.000 0.000
I1 I 0.000 0.000 0.500



Model 2:
# PBE HfFeSb2I, relaxed
# **Space group**: P4/mmm, No. 123
# **N(E_F)**: 5.6 states/eV/f.u.
data_HfFeSb2I
_cell_length_a 4.907
_cell_length_b 4.907
_cell_length_c 5.321
_cell_angle_alpha 90.00
_cell_angle_beta 90.00
_cell_angle_gamma 90.00
_space_group_name_H-M_alt 'P 1'
_space_group_IT_number 1
_space_group_name_Hall 'P 1'
loop_
_atom_site_label
_atom_site_type_symbol
_atom_site_fract_x
_atom_site_fract_y
_atom_site_fract_z
Hf1 Hf 0.000 0.000 0.000
Fe1 Fe 0.500 0.500 0.500
Sb1 Sb 0.000 0.500 0.500
Sb2 Sb 0.500 0.000 0.500
I1 I 0.500 0.500 0.000



In terms of stability, model 2 leads; the second structure lies 97 meV per atom higher.



Model 1:
# PBE HfFeTe2I, relaxed
# **Space group**: P4/mmm, No. 123
# **N(E_F)**: 9.3 states/eV/f.u.
data_HfFeTe2I
_cell_length_a 5.568
_cell_length_b 5.568
_cell_length_c 5.731
_cell_angle_alpha 90.00
_cell_angle_beta 90.00
_cell_angle_gamma 90.00
_space_group_name_H-M_alt 'P 1'
_space_group_IT_number 1
_space_group_name_Hall 'P 1'
loop_
_atom_site_label
_atom_site_type_symbol
_atom_site_fract_x
_atom_site_fract_y
_atom_site_fract_z
Hf1 Hf 0.000 0.000 0.000
Fe1 Fe 0.500 0.500 0.500
Te1 Te 0.000 0.500 0.000
Te2 Te 0.500 0.000 0.000
I1 I 0.000 0.000 0.500



Model 2:
# PBE HfFeTe2I, relaxed
# **Space group**: P4/mmm, No. 123
# **N(E_F)**: 8.8 states/eV/f.u.
data_HfFeTe2I
_cell_length_a 5.021
_cell_length_b 5.021
_cell_length_c 5.036
_cell_angle_alpha 90.00
_cell_angle_beta 90.00
_cell_angle_gamma 90.00
_space_group_name_H-M_alt 'P 1'
_space_group_IT_number 1
_space_group_name_Hall 'P 1'
loop_
_atom_site_label
_atom_site_type_symbol
_atom_site_fract_x
_atom_site_fract_y
_atom_site_fract_z
Hf1 Hf 0.000 0.000 0.000
Fe1 Fe 0.500 0.500 0.500
Te1 Te 0.000 0.500 0.500
Te2 Te 0.500 0.000 0.500
I1 I 0.500 0.500 0.000



In terms of stability, model 1 leads; the second structure lies 166 meV per atom higher.